a | # ErSc2Co

ErSc2Co after structural relaxation (PBE-GGA, the Alexandria database).

a b c (Å): 3.199 3.199 8.345
angles (deg): 90.00 90.00 90.00
Sites, in units of the cell vectors:
Er 0.000 0.000 0.000
Sc 0.500 0.500 0.320
Sc 0.500 0.500 0.680
Co 0.000 0.000 0.500

space-group type: P4/mmm (123)

b | # ErSc2Co

ErSc2Co after structural relaxation (PBE-GGA, the Alexandria database).

a b c (Å): 10.055 10.055 10.055
angles (deg): 19.00 19.00 19.00
Sites, in units of the cell vectors:
Er 0.000 0.000 0.000
Sc 0.112 0.112 0.112
Sc 0.888 0.888 0.888
Co 0.500 0.500 0.500

space-group type: R-3m (166)

c | # ErSc2Co

ErSc2Co after structural relaxation (PBE-GGA, the Alexandria database).

a b c (Å): 5.972 5.972 8.766
angles (deg): 90.00 90.00 146.26
Sites, in units of the cell vectors:
Er 0.075 0.925 0.750
Er 0.925 0.075 0.250
Sc 0.357 0.643 0.570
Sc 0.357 0.643 0.930
Sc 0.643 0.357 0.070
Sc 0.643 0.357 0.430
Co 0.244 0.756 0.250
Co 0.756 0.244 0.750

space-group type: Cmcm (63)

c is the most stable structure; the next one sits 57 meV per atom above it.

a | # ErScTlCo

ErScTlCo after structural relaxation (PBE-GGA, the Alexandria database).

a b c (Å): 4.934 4.934 4.934
angles (deg): 60.00 60.00 60.00
Sites, in units of the cell vectors:
Er 0.000 0.000 0.000
Sc 0.500 0.500 0.500
Tl 0.750 0.750 0.750
Co 0.250 0.250 0.250

space-group type: F-43m (216)

b | # ErScTlCo

ErScTlCo after structural relaxation (PBE-GGA, the Alexandria database).

a b c (Å): 3.260 3.260 7.859
angles (deg): 90.00 90.00 90.00
Sites, in units of the cell vectors:
Er 0.000 0.000 0.000
Sc 0.000 0.000 0.604
Tl 0.500 0.500 0.317
Co 0.500 0.500 0.783

space-group type: P4mm (99)

b is the most stable structure; the next one sits 155 meV per atom above it.

a | # Er2CoSe

Er2CoSe after structural relaxation (PBE-GGA, the Alexandria database).

a b c (Å): 3.430 3.430 7.007
angles (deg): 90.00 90.00 90.00
Sites, in units of the cell vectors:
Er 0.000 0.000 0.230
Er 0.000 0.000 0.770
Co 0.500 0.500 0.000
Se 0.500 0.500 0.500

space-group type: P4/mmm (123)

b | # Er2CoSe

Er2CoSe after structural relaxation (PBE-GGA, the Alexandria database).

a b c (Å): 11.148 11.148 3.935
angles (deg): 90.00 90.00 159.34
Sites, in units of the cell vectors:
Er 0.063 0.937 0.750
Er 0.331 0.669 0.750
Er 0.669 0.331 0.250
Er 0.937 0.063 0.250
Co 0.470 0.530 0.750
Co 0.530 0.470 0.250
Se 0.195 0.805 0.750
Se 0.805 0.195 0.250

space-group type: Cmcm (63)

b is the most stable structure; the next one sits 202 meV per atom above it.

a | # Sm3ErCo

Sm3ErCo after structural relaxation (PBE-GGA, the Alexandria database).

a b c (Å): 7.303 7.304 7.313
angles (deg): 109.30 100.56 119.03
Sites, in units of the cell vectors:
Sm 0.215 0.498 0.215
Sm 0.216 0.999 0.715
Sm 0.272 0.021 0.250
Sm 0.728 0.979 0.750
Sm 0.784 0.001 0.285
Sm 0.785 0.502 0.785
Er 0.279 0.528 0.751
Er 0.721 0.472 0.249
Co 0.500 0.000 0.000
Co 0.500 0.500 0.500

space-group type: P-1 (2)

b | # Sm3ErCo

Sm3ErCo after structural relaxation (PBE-GGA, the Alexandria database).

a b c (Å): 5.366 5.366 5.366
angles (deg): 90.00 90.00 90.00
Sites, in units of the cell vectors:
Sm 0.000 0.000 0.500
Sm 0.000 0.500 0.000
Sm 0.500 0.000 0.000
Er 0.500 0.500 0.500
Co 0.000 0.000 0.000

space-group type: Pm-3m (221)

c | # Sm3ErCo

Sm3ErCo after structural relaxation (PBE-GGA, the Alexandria database).

a b c (Å): 7.209 7.209 8.263
angles (deg): 124.61 124.61 71.89
Sites, in units of the cell vectors:
Sm 0.046 0.046 0.338
Sm 0.048 0.454 0.210
Sm 0.454 0.048 0.210
Sm 0.546 0.952 0.790
Sm 0.952 0.546 0.790
Sm 0.954 0.954 0.662
Er 0.454 0.454 0.753
Er 0.546 0.546 0.247
Co 0.252 0.252 0.866
Co 0.748 0.748 0.134

space-group type: C2/m (12)

c is the most stable structure; the next one sits 48 meV per atom above it.

a | # SmErCo2

SmErCo2 after structural relaxation (PBE-GGA, the Alexandria database).

a b c (Å): 3.868 5.590 7.532
angles (deg): 90.00 90.00 90.00
Sites, in units of the cell vectors:
Sm 0.000 0.133 0.000
Sm 0.000 0.867 0.500
Er 0.500 0.369 0.644
Er 0.500 0.631 0.144
Co 0.000 0.360 0.353
Co 0.000 0.640 0.853
Co 0.500 0.163 0.298
Co 0.500 0.837 0.798

space-group type: Pmc2_1 (26)

b | # SmErCo2

SmErCo2 after structural relaxation (PBE-GGA, the Alexandria database).

a b c (Å): 4.751 4.751 3.370
angles (deg): 90.00 90.00 90.00
Sites, in units of the cell vectors:
Sm 0.000 0.000 0.000
Er 0.500 0.500 0.000
Co 0.000 0.500 0.500
Co 0.500 0.000 0.500

space-group type: P4/mmm (123)

a is the most stable structure; the next one sits 74 meV per atom above it.